# Na2CdNi3F12, optimized geometry, DFT PBE with a Hubbard U
data_Na2CdNi3F12
_space_group_name_H-M_alt 'R -3 m'
_space_group_IT_number 166
_space_group_name_Hall '-R 3 2"'
_cell_length_a 7.3408
_cell_length_b 7.3408
_cell_length_c 16.0286
_cell_angle_alpha 90.00
_cell_angle_beta 90.00
_cell_angle_gamma 120.00
loop_
_atom_site_label
_atom_site_fract_x
_atom_site_fract_y
_atom_site_fract_z
Na1 0.0000 0.0000 0.1396
Cd1 0.0000 0.0000 0.5000
Ni1 0.0000 0.5000 0.0000
F1 0.0240 0.5120 0.8809
F2 0.0756 0.5378 0.3193
# Total magnetization = 0.44 μB/atom
# ρ = 3.7 g/cm³
# VASP energy = -210.57 eV/cell